[1]
An optimized crystal structure of NdScTl. Source: the Open Quantum Materials Database, functional PBE-GGA.

Lattice parameters (Å, degrees): 5.354 5.354 6.601 90.00 90.00 120.00
Last column: magnetic moment on the atom in μB.
Positions (direct):
Tl 0.333 0.667 0.750  -0.01
Tl 0.667 0.333 0.250  -0.01
Sc 0.000 0.000 0.000  0.44
Sc 0.000 0.000 0.500  0.43
Nd 0.667 0.333 0.750  0.13
Nd 0.333 0.667 0.250  0.13

Output
**Symmetry**: No. 194
**Electronic total energy**: -28.3 eV/cell
**ΔE to the lowest computed polymorph**: 64 meV/atom

=====

[2]
An optimized crystal structure of Nd2Sc2Tl. Source: the Open Quantum Materials Database, functional PBE-GGA.

Lattice parameters (Å, degrees): 4.898 4.898 7.247 90.00 90.00 120.00
Positions (direct):
Nd 0.667 0.333 0.353
Nd 0.333 0.667 0.647
Sc 0.667 0.333 0.885
Sc 0.333 0.667 0.115
Tl 0.000 0.000 0.000

Output
**Symmetry**: No. 164
**Electronic total energy**: -24.0 eV/cell

=====

[3]
An optimized crystal structure of NdScU. Source: the Open Quantum Materials Database, functional PBE-GGA.

Lattice parameters (Å, degrees): 5.118 5.118 5.118 60.00 60.00 60.00
Positions (direct):
Nd 0.250 0.250 0.250
Sc 0.000 0.000 0.000
U 0.750 0.750 0.750

Output
**E_form**: 1.198 eV per atom
**Symmetry**: No. 216
**Electronic total energy**: -18.8 eV/cell
**ΔE to the lowest computed polymorph**: 0 meV/atom

=====

[4]
An optimized crystal structure of NdYSc6. Source: the Open Quantum Materials Database, functional PBE-GGA.

Lattice parameters (Å, degrees): 5.302 6.761 6.761 59.97 90.00 90.00
Last column: magnetic moment on the atom in μB.
Positions (direct):
Sc 0.500 0.927 0.412  0.16
Sc 0.000 0.088 0.088  0.17
Sc 0.500 0.412 0.412  0.16
Sc 0.000 0.087 0.575  0.16
Sc 0.500 0.412 0.927  0.15
Sc 0.000 0.575 0.087  0.17
Nd 0.000 0.583 0.583  0.07
Y 0.500 0.917 0.917  0.18

Output
**E_form**: 0.030 eV per atom
**Symmetry**: No. 38
**Electronic total energy**: -49.0 eV/cell

=====

[5]
An optimized crystal structure of NdY2Sc2. Source: the Open Quantum Materials Database, functional PBE-GGA.

Lattice parameters (Å, degrees): 4.428 4.428 8.244 105.58 105.58 90.00
Positions (direct):
Sc 0.750 0.250 0.500
Sc 0.250 0.750 0.500
Nd 0.000 0.000 0.000
Y 0.597 0.597 0.195
Y 0.403 0.403 0.805

Output
**E_form**: 0.398 eV per atom
**Symmetry**: No. 139
**Electronic total energy**: -28.4 eV/cell

=====

[6]
An optimized crystal structure of NdYSc. Source: the Open Quantum Materials Database, functional PBE-GGA.

Lattice parameters (Å, degrees): 5.301 5.301 5.301 60.00 60.00 60.00
Positions (direct):
Y 0.750 0.750 0.750
Sc 0.000 0.000 0.000
Nd 0.250 0.250 0.250

Output
**E_form**: 0.674 eV per atom
**Symmetry**: No. 216
**Electronic total energy**: -15.5 eV/cell
**ΔE to the lowest computed polymorph**: 0 meV/atom